1.
# CaScIrRh

Crystalline CaScIrRh at its relaxed geometry (PBE, Alexandria via LeMat-Bulk).

* SG: F-43m, No. 216
* ΔH_f (0 K): -0.58 eV/atom

Lattice parameters (Å, degrees): 4.6774 4.6774 4.6774 60.00 60.00 60.00
Atoms (fractional coordinates):
Ca 0.0000 0.0000 0.0000
Sc 0.5000 0.5000 0.5000
Ir 0.7500 0.7500 0.7500
Rh 0.2500 0.2500 0.2500


2.
# Ho4BiTe2P

Crystalline Ho4BiTe2P at its relaxed geometry (PBE, Alexandria via LeMat-Bulk).

* SG: P2/m, No. 10
* formation energy from raw total energies: -1.27 eV/atom

Lattice parameters (Å, degrees): 7.4574 4.2416 7.4785 90.00 109.03 90.00
Atoms (fractional coordinates):
Ho 0.2179 0.0000 0.2181
Ho 0.2298 0.5000 0.7694
Ho 0.7702 0.5000 0.2306
Ho 0.7821 0.0000 0.7819
Bi 0.0000 0.0000 0.5000
Te 0.5000 0.0000 0.0000
Te 0.5000 0.5000 0.5000
P 0.0000 0.5000 0.0000


3.
# MgPtRh

Crystalline MgPtRh at its relaxed geometry (PBE, Alexandria via LeMat-Bulk).

* energy above the most stable polymorph in this dataset: 0.028 eV/atom
* SG: Imm2, No. 44
* ΔH_f (0 K): -0.36 eV/atom

Lattice parameters (Å, degrees): 4.8612 4.8612 4.8612 146.45 132.44 59.45
Atoms (fractional coordinates):
Mg 0.0000 0.0000 0.0000
Pt 0.6649 0.6649 0.0000
Rh 0.3357 0.3357 0.0000